Ni6SbAu | meta-GGA SCAN | single point on PBEsol structure

Output
V: 12.19 Å³ per atom
Formation energy without anion corrections: -1 meV/atom
N(E_F): 0.942 states/eV/atom
E_tot: -25.43 eV/atom
Symmetry: Cmmm, No. 65

Lattice parameters (Å, degrees): 6.326 6.326 10.337 90.00 90.00 109.40
Element x y z (fractional)
Ni1 0.875 0.626 0.625
Ni2 0.625 0.876 0.125
Ni3 0.374 0.125 0.625
Ni4 0.500 0.500 0.000
Ni5 0.000 0.000 0.500
Ni6 0.626 0.875 0.375
Ni7 0.626 0.875 0.625
Ni8 0.750 0.250 0.749
Ni9 0.375 0.124 0.125
Ni10 0.374 0.125 0.375
Ni11 0.876 0.625 0.875
Ni12 0.250 0.750 0.749
Ni13 0.876 0.625 0.125
Ni14 0.375 0.124 0.875
Ni15 0.875 0.626 0.375
Ni16 0.500 0.500 0.500
Ni17 0.000 0.000 0.000
Ni18 0.625 0.876 0.875
Ni19 0.125 0.374 0.625
Ni20 0.124 0.375 0.875
Ni21 0.250 0.750 0.251
Ni22 0.124 0.375 0.125
Ni23 0.125 0.374 0.375
Ni24 0.750 0.250 0.251
Sb1 0.251 0.749 0.500
Sb2 0.000 0.000 0.247
Sb3 0.749 0.251 0.500
Sb4 0.000 0.000 0.753
Au1 0.749 0.251 0.000
Au2 0.251 0.749 0.000
Au3 0.500 0.500 0.752
Au4 0.500 0.500 0.248